Computed, not measured: a PBEsol-optimized structure of KSr2Rh at the meta-GGA SCAN level of DFT.

The structure in extended XYZ format:
```
4
Lattice="0.0000 3.9392 3.9392 3.9392 0.0000 3.9392 3.9392 3.9392 0.0000" Properties=species:S:1:pos:R:3 pbc="T T T"
K 0.0000 0.0000 0.0000
Sr 3.9392 3.9392 3.9392
Sr 5.9089 5.9089 5.9089
Rh 1.9696 1.9696 1.9696
```

## Properties
Formation enthalpy at 0 K = 0.44 eV/atom
SG = F-43m, No. 216
Excess energy over the best structure of this formula in the dataset = 0.499 eV/atom

---

Computed, not measured: a PBEsol-optimized structure of Sr3AsF at the meta-GGA SCAN level of DFT.

The structure in extended XYZ format:
```
5
Lattice="5.9355 0.0000 0.0000 0.0000 5.9355 0.0000 0.0000 0.0000 5.9355" Properties=species:S:1:pos:R:3 pbc="T T T"
Sr 0.0000 0.0000 2.9678
Sr 0.0000 2.9678 0.0000
Sr 2.9678 0.0000 0.0000
As 0.0000 0.0000 0.0000
F 2.9678 2.9678 2.9678
```

## Properties
ΔE_f (raw) = -0.98 eV/atom
SG = Pm-3m, No. 221

---

Computed, not measured: a PBEsol-optimized structure of Ca2LaRh at the meta-GGA SCAN level of DFT.

The structure in extended XYZ format:
```
4
Lattice="1.9879 1.1477 9.7214 -1.9879 1.1477 9.7214 0.0000 -2.2954 9.7214" Properties=species:S:1:pos:R:3 pbc="T T T"
Ca 0.0000 0.0000 0.0000
Ca 0.0000 0.0000 6.4930
La 0.0000 0.0000 12.9052
Rh 0.0000 0.0000 21.1880
```

## Properties
Formation enthalpy at 0 K = -0.35 eV/atom
SG = R3m, No. 160
Excess energy over the best structure of this formula in the dataset = 0.030 eV/atom

---

Computed, not measured: a PBEsol-optimized structure of Rb2Mo2O7 at the meta-GGA SCAN level of DFT.

The structure in extended XYZ format:
```
44
Lattice="11.8471 0.0000 0.0000 0.0000 6.4178 5.1146 0.0000 -6.4178 5.1146" Properties=species:S:1:pos:R:3 pbc="T T T"
Rb 0.0000 0.0000 0.0000
Rb 2.9618 0.2074 2.5091
Rb 2.9618 -2.7330 5.1851
Rb 2.9618 3.2021 4.9472
Rb 5.9235 0.0000 0.0000
Rb 8.8853 -0.2074 2.5091
Rb 8.8853 -3.2021 4.9472
Rb 8.8853 2.7330 5.1851
Mo 0.0000 0.0000 5.8338
Mo 0.1702 3.1909 7.5256
Mo 2.9618 0.4580 8.1209
Mo 5.7533 3.1909 7.5256
Mo 5.9235 0.0000 5.8338
Mo 6.0938 -3.1909 7.5256
Mo 8.8853 -0.4580 8.1209
Mo 11.6768 -3.1909 7.5256
O 0.3634 1.8323 6.2640
O 0.5023 -3.7615 4.0360
O 1.1869 -1.8981 1.9246
O 1.3243 -0.2406 4.7708
O 1.4598 -0.3293 7.5403
O 1.4726 2.6563 2.3897
O 2.9618 2.1206 7.6114
O 2.9618 0.3579 9.8732
O 4.4510 2.6563 2.3897
O 4.4637 -0.3293 7.5403
O 4.5992 -0.2406 4.7708
O 4.7366 -1.8981 1.9246
O 5.4212 -3.7615 4.0360
O 5.5602 1.8323 6.2640
O 6.2869 -1.8323 6.2640
O 6.4258 3.7615 4.0360
O 7.1104 1.8981 1.9246
O 7.2478 0.2406 4.7708
O 7.3833 0.3293 7.5403
O 7.3961 -2.6563 2.3897
O 8.8853 -2.1206 7.6114
O 8.8853 -0.3579 9.8732
O 10.3745 -2.6563 2.3897
O 10.3872 0.3293 7.5403
O 10.5228 0.2406 4.7708
O 10.6602 1.8981 1.9246
O 11.3448 3.7615 4.0360
O 11.4837 -1.8323 6.2640
```

## Properties
ΔE_f (raw) = -2.25 eV/atom
SG = Ama2, No. 40

---

Computed, not measured: a PBEsol-optimized structure of LaSi2PtI at the meta-GGA SCAN level of DFT.

The structure in extended XYZ format:
```
5
Lattice="5.5223 0.0000 0.0000 0.0000 5.5223 0.0000 0.0000 0.0000 5.8113" Properties=species:S:1:pos:R:3 pbc="T T T"
La 0.0000 0.0000 0.0000
Si 0.0000 2.7611 0.0000
Si 2.7611 0.0000 0.0000
Pt 2.7611 2.7611 2.9056
I 0.0000 0.0000 2.9056
```

## Properties
ΔE_f (raw) = 1.61 eV/atom
SG = P4/mmm, No. 123

---

Computed, not measured: a PBEsol-optimized structure of CoOs3 at the meta-GGA SCAN level of DFT.

The structure in extended XYZ format:
```
8
Lattice="4.2146 0.0000 0.0000 0.0000 5.3288 0.0000 0.0000 0.0000 4.6346" Properties=species:S:1:pos:R:3 pbc="T T T"
Co 1.0537 1.3322 0.7421
Co 3.1610 3.9966 3.8925
Os 1.0537 2.6821 3.1160
Os 1.0537 3.9966 0.7342
Os 1.0537 5.3110 3.1160
Os 3.1610 0.0177 1.5187
Os 3.1610 1.3322 3.9004
Os 3.1610 2.6467 1.5187
```

## Properties
Formation enthalpy at 0 K = 0.12 eV/atom
SG = Pmmn, No. 59